PBE ScAsAuSe2, relaxed; symmetry = P4/mmm (123); ΔE to the lowest computed polymorph = 0.0 meV per atom; crystal system = tetragonal
1.0
-1.900 4.163 -2.160
-4.683 -1.810 0.629
-0.262 2.301 4.667
Se As Au Sc
2 1 1 1
Cartesian
-2.341 -0.905 0.315
-0.950 2.081 -1.080
-0.131 1.151 2.333
-3.422 2.327 1.568
0.000 0.000 0.000

---

PBE Y2ScAsAu, relaxed; symmetry = P4/mmm (123); crystal system = tetragonal; formation enthalpy at 0 K = -0.122 eV per atom
1.0
-3.484 4.030 0.902
-0.945 -1.820 4.486
3.998 2.996 2.058
Y Sc As Au
2 1 1 1
Cartesian
-1.742 2.015 0.451
1.999 1.498 1.029
-0.215 2.603 3.722
0.000 0.000 0.000
-0.472 -0.910 2.243

---

PBE AsAu3Se4, relaxed; symmetry = Pmn2_1 (31); crystal system = orthorhombic
1.0
8.457 0.000 0.000
0.000 7.507 0.000
0.000 0.000 7.521
Au Se As
6 8 2
Cartesian
7.836 5.876 6.068
3.607 1.631 5.214
3.607 1.631 2.308
0.936 0.903 3.761
5.164 6.604 0.000
7.836 5.876 1.453
1.355 2.639 5.659
5.583 4.868 1.898
0.515 6.004 3.761
1.355 2.639 1.863
5.437 0.727 3.761
4.743 1.503 0.000
1.209 6.780 0.000
5.583 4.868 5.624
0.231 1.546 0.000
4.459 5.961 3.761

---

PBE AsAuSe, relaxed; symmetry = I4mm (107); crystal system = tetragonal
1.0
-0.254 4.654 3.855
-3.314 4.794 1.617
-2.190 -1.001 2.932
Se As Au
1 1 1
Cartesian
-2.794 3.579 4.045
-3.419 8.323 5.198
-3.112 5.992 4.632

---

PBE AsAu2Se, relaxed; symmetry = P2/m (10); crystal system = monoclinic
1.0
-1.563 3.962 -2.461
-0.038 -1.519 -2.420
-5.470 -3.015 -1.380
Au Se As
2 1 1
Cartesian
-5.462 -3.767 -2.595
-2.801 -3.034 -3.105
-2.159 0.847 -2.181
-4.913 -1.420 -4.081

---

PBE As2AuSe6, relaxed; symmetry = C2/c (15); crystal system = monoclinic
1.0
-5.086 3.865 -2.990
-5.469 -4.775 -4.558
-7.280 -0.133 4.524
Se As Au
12 4 2
Cartesian
-12.217 -3.212 0.322
-9.073 -1.635 -1.942
-8.763 0.593 -1.082
-5.923 -2.101 -1.076
-10.301 -0.888 1.610
-11.913 1.059 -1.948
-14.418 -2.157 -2.889
-7.534 -0.154 -4.634
-3.417 1.114 -0.135
-11.860 -1.478 -4.820
-5.975 0.436 1.796
-5.618 2.170 -3.346
-6.119 0.721 -0.697
-11.716 -1.763 -2.327
-9.447 -2.995 0.539
-8.389 1.953 -3.563
-8.395 0.432 2.991
-9.440 -1.474 -6.015

---

PBE As2AuSe, relaxed; symmetry = Pmmm (47); crystal system = orthorhombic
1.0
-2.132 1.867 -0.429
-2.269 -1.690 3.919
2.820 3.990 3.353
Se Au As
1 1 2
Cartesian
-0.086 3.081 4.260
-1.496 1.086 2.583
0.122 0.172 0.145
1.288 1.823 1.532

---

PBE AsAu2Se, relaxed; symmetry = R3m (160); crystal system = trigonal
1.0
-0.063 -5.970 -3.223
0.904 -6.711 0.424
-2.784 -6.166 -0.514
Au As Se
2 1 1
Cartesian
-1.937 -18.779 -3.301
-1.457 -14.131 -2.484
-0.500 -4.848 -0.852
-0.965 -9.359 -1.645

---

PBE AsAu2Se, relaxed; symmetry = I-4m2 (119); crystal system = tetragonal
1.0
-4.195 -0.650 2.960
-0.456 -5.047 1.052
4.027 3.214 0.486
Au Se As
2 1 1
Cartesian
0.000 0.000 0.000
0.623 -2.340 1.772
-2.325 -2.848 2.006
-1.247 -0.142 2.726

---

PBE As2AuSe, relaxed; symmetry = P1 (1); crystal system = triclinic
1.0
-4.272 -1.044 -5.093
-3.466 -2.615 3.983
3.111 4.234 -0.319
Au Se As
1 1 2
Cartesian
-0.736 2.359 -0.946
-2.489 0.504 -3.140
2.934 4.102 -0.404
-1.985 0.250 1.868

---

PBE As2AuSe, relaxed; symmetry = Cmmm (65); crystal system = orthorhombic
1.0
-0.540 0.725 -2.640
-1.622 -2.253 -0.281
-8.456 5.676 3.288
As Se Au
2 1 1
Cartesian
-3.898 2.616 1.515
-0.330 0.222 0.128
-7.423 3.492 1.005
-3.195 0.655 -0.639

---

PBE AsAu2Se, relaxed; symmetry = Cmmm (65); crystal system = orthorhombic
1.0
5.955 -0.146 0.000
-3.259 4.987 0.000
0.000 0.000 2.740
Se As Au
1 1 2
Cartesian
2.978 -0.073 1.370
-1.629 2.493 1.370
1.348 2.420 0.000
0.000 0.000 0.000

---

Calculated DFT total energy in order - -4.12, -5.56, -3.56, -3.75, -3.52, -3.68, -3.66, -3.60, -3.32, -3.98, -3.70, -3.36 eV per atom
Calculated total magnetic moment in order - 0.00, 1.42, 0.00, 0.00, 0.00, 0.00, 0.00, 0.00, 0.00, 0.00, 0.00, 0.00 μB per cell